(1)
DFT (GGA-PBE) results for crystalline YMn2Al at its relaxed geometry.

DFT total energy ... -6.719 eV/atom
ΔE_f ... 161 kJ/mol of formula units

Unit cell a=4.249 b=4.249 c=9.281 alpha=76.77 beta=76.77 gamma=90.00
Sites, in units of the cell vectors:
Y: 0.750 0.250 0.500
Y: 0.000 0.000 0.000
Mn: 0.305 0.625 0.250
Mn: 0.445 0.125 0.250
Mn: 0.875 0.695 0.750
Mn: 0.375 0.555 0.750
Al: 0.500 0.500 0.000
Al: 0.250 0.750 0.500

***

(2)
DFT (GGA-PBE) results for crystalline KLaMgI6 at its relaxed geometry.

DFT total energy ... -3.218 eV/atom
Raw formation energy ... -1.34 eV/atom

Unit cell a=7.946 b=7.946 c=15.483 alpha=90.00 beta=90.00 gamma=120.00
Sites, in units of the cell vectors:
I: 0.644 0.623 0.137
I: 0.356 0.377 0.863
I: 0.021 0.644 0.863
I: 0.623 0.644 0.637
I: 0.021 0.377 0.637
I: 0.623 0.979 0.863
I: 0.979 0.623 0.363
I: 0.644 0.021 0.363
I: 0.377 0.356 0.363
I: 0.356 0.979 0.637
I: 0.377 0.021 0.137
I: 0.979 0.356 0.137
La: 0.333 0.667 0.250
La: 0.667 0.333 0.750
K: 0.000 0.000 0.500
K: 0.000 0.000 0.000
Mg: 0.667 0.333 0.250
Mg: 0.333 0.667 0.750

***

(3)
DFT (GGA-PBE) results for crystalline LiTb3C at its relaxed geometry.

DFT total energy ... -5.034 eV/atom
ΔE_f ... -14 kJ/mol of formula units

Unit cell a=4.995 b=4.995 c=4.995 alpha=90.00 beta=90.00 gamma=90.00
Sites, in units of the cell vectors:
C: 0.000 0.000 0.000
Tb: 0.500 0.000 0.000
Tb: 0.000 0.500 0.000
Tb: 0.000 0.000 0.500
Li: 0.500 0.500 0.500

***

(4)
DFT (GGA-PBE) results for crystalline CaPrNdZn at its relaxed geometry.

DFT total energy ... -3.178 eV/atom
ΔE_f ... 11 kJ/mol of formula units

Unit cell a=5.542 b=5.542 c=5.542 alpha=60.00 beta=60.00 gamma=60.00
Sites, in units of the cell vectors:
Ca: 0.500 0.500 0.500
Nd: 0.250 0.250 0.250
Pr: 0.750 0.750 0.750
Zn: 0.000 0.000 0.000

***

Question: Look up the DFT total energy of the second one.
Answer: -3.218 eV/atom